SiHgBr2 at its PBEsol-relaxed geometry. Source: Alexandria, functional SCAN.

a = 4.7409 Å, b = 4.8877 Å, c = 8.9504 Å
α = 90.00°, β = 90.00°, γ = 90.00°
With the nearest neighbours (Å) after each atom.
Positions (direct):
Si (0.0000, 0.0000, 0.0000)  8 Br 2.88-2.94
Si (0.5000, 0.5000, 0.0000)  8 Br 2.88-2.94
Hg (0.0000, 0.0000, 0.5000)  4 Hg 3.40, 8 Br 3.69-3.74
Hg (0.5000, 0.5000, 0.5000)  4 Hg 3.40, 8 Br 3.69-3.74
Br (0.0000, 0.5000, 0.1833)  4 Si 2.88-2.94
Br (0.0000, 0.5000, 0.8167)  4 Si 2.88-2.94
Br (0.5000, 0.0000, 0.1833)  4 Si 2.88-2.94
Br (0.5000, 0.0000, 0.8167)  4 Si 2.88-2.94

Computed properties:
Total magnetic moment = 0.00 μB per formula unit
Uncorrected energy = -29.18 eV/atom
Space-group type = Cmmm
Formation energy without anion corrections = 0.092 eV/atom
ΔE to the lowest computed polymorph = 34.4 meV per atom

---

MnCrPt at its PBEsol-relaxed geometry. Source: Alexandria, functional SCAN.

a = 5.7723 Å, b = 5.7723 Å, c = 5.7723 Å
α = 90.00°, β = 90.00°, γ = 90.00°
With the nearest neighbours (Å) after each atom.
Positions (direct):
Mn (0.0000, 0.0000, 0.0000)  4 Pt 2.50
Mn (0.0000, 0.5000, 0.5000)  4 Pt 2.50
Mn (0.5000, 0.0000, 0.5000)  4 Pt 2.50
Mn (0.5000, 0.5000, 0.0000)  4 Pt 2.50
Cr (0.0000, 0.0000, 0.5000)  4 Pt 2.50
Cr (0.0000, 0.5000, 0.0000)  4 Pt 2.50
Cr (0.5000, 0.0000, 0.0000)  4 Pt 2.50
Cr (0.5000, 0.5000, 0.5000)  4 Pt 2.50
Pt (0.2500, 0.2500, 0.7500)  4 Cr 2.50, 4 Mn 2.50
Pt (0.2500, 0.7500, 0.2500)  4 Cr 2.50, 4 Mn 2.50
Pt (0.7500, 0.2500, 0.2500)  4 Cr 2.50, 4 Mn 2.50
Pt (0.7500, 0.7500, 0.7500)  4 Cr 2.50, 4 Mn 2.50

Computed properties:
Total magnetic moment = 4.95 μB per formula unit
Uncorrected energy = -35.54 eV/atom
Calculated formation energy = 6.9 kJ per mole of atoms
Space-group type = F-43m
ΔE to the lowest computed polymorph = 504.8 meV per atom

---

LaCd2Rh at its PBEsol-relaxed geometry. Source: Alexandria, functional SCAN.

a = 4.0317 Å, b = 4.0317 Å, c = 5.3316 Å
α = 90.00°, β = 90.00°, γ = 90.00°
With the nearest neighbours (Å) after each atom.
Positions (direct):
La (0.0000, 0.0000, 0.0000)  4 Rh 2.85
Cd (0.0000, 0.5000, 0.5000)  4 Cd 2.85
Cd (0.5000, 0.0000, 0.5000)  4 Cd 2.85
Rh (0.5000, 0.5000, 0.0000)  4 La 2.85

Computed properties:
Total magnetic moment = 0.00 μB per formula unit
Uncorrected energy = -34.76 eV/atom
Calculated formation energy = -32.5 kJ per mole of atoms
Space-group type = P4/mmm

---

HgGe2S2 at its PBEsol-relaxed geometry. Source: Alexandria, functional SCAN.

a = 4.5632 Å, b = 4.5632 Å, c = 10.6897 Å
α = 90.00°, β = 90.00°, γ = 90.00°
With the nearest neighbours (Å) after each atom.
Positions (direct):
Hg (0.0000, 0.0000, 0.0000)  8 S 3.51, 10 Ge 3.60-3.75
Hg (0.5000, 0.5000, 0.5000)  8 S 3.51, 10 Ge 3.60-3.75
Ge (0.0000, 0.0000, 0.3508)  4 S 2.52
Ge (0.0000, 0.0000, 0.6492)  4 S 2.52
Ge (0.5000, 0.5000, 0.1492)  4 S 2.52
Ge (0.5000, 0.5000, 0.8508)  4 S 2.52
S (0.0000, 0.5000, 0.2500)  4 Ge 2.52
S (0.0000, 0.5000, 0.7500)  4 Ge 2.52
S (0.5000, 0.0000, 0.2500)  4 Ge 2.52
S (0.5000, 0.0000, 0.7500)  4 Ge 2.52

Computed properties:
Total magnetic moment = 0.00 μB per formula unit
Uncorrected energy = -25.12 eV/atom
Space-group type = I4/mmm
Formation energy without anion corrections = -0.001 eV/atom

---

Ta3Co at its PBEsol-relaxed geometry. Source: Alexandria, functional SCAN.

a = 8.8632 Å, b = 8.8632 Å, c = 2.7828 Å
α = 90.00°, β = 90.00°, γ = 120.00°
With the nearest neighbours (Å) after each atom.
Positions (direct):
Ta (0.0000, 0.5000, 0.0000)  6 Ta 2.72-2.78, 2 Co 2.72
Ta (0.1667, 0.3333, 0.3333)  6 Ta 2.72-2.78, 2 Co 2.72
Ta (0.1667, 0.8333, 0.3333)  2 Co 2.72, 6 Ta 2.72-2.78
Ta (0.3333, 0.1667, 0.6667)  6 Ta 2.72-2.78, 2 Co 2.72
Ta (0.5000, 0.0000, 0.0000)  6 Ta 2.72-2.78, 2 Co 2.72
Ta (0.5000, 0.5000, 0.0000)  6 Ta 2.72-2.78, 2 Co 2.72
Ta (0.6667, 0.8333, 0.3333)  6 Ta 2.72-2.78, 2 Co 2.72
Ta (0.8333, 0.1667, 0.6667)  2 Co 2.72, 6 Ta 2.72-2.78
Ta (0.8333, 0.6667, 0.6667)  6 Ta 2.72-2.78, 2 Co 2.72
Co (0.0000, 0.0000, 0.0000)  6 Ta 2.72, 2 Co 2.78
Co (0.3333, 0.6667, 0.6667)  6 Ta 2.72, 2 Co 2.78
Co (0.6667, 0.3333, 0.3333)  6 Ta 2.72, 2 Co 2.78

Computed properties:
Total magnetic moment = 0.00 μB per formula unit
Uncorrected energy = -54.17 eV/atom
Calculated formation energy = 9.4 kJ per mole of atoms
Space-group type = R-3m

---

Sc2Ni2Pb at its PBEsol-relaxed geometry. Source: Alexandria, functional SCAN.

a = 4.8374 Å, b = 4.8374 Å, c = 7.7720 Å
α = 90.00°, β = 90.00°, γ = 90.00°
With the nearest neighbours (Å) after each atom.
Positions (direct):
Sc (0.0000, 0.5000, 0.2500)  4 Ni 2.57
Sc (0.0000, 0.5000, 0.7500)  4 Ni 2.57
Sc (0.5000, 0.0000, 0.2500)  4 Ni 2.57
Sc (0.5000, 0.0000, 0.7500)  4 Ni 2.57
Ni (0.0000, 0.0000, 0.1393)  1 Ni 2.16
Ni (0.0000, 0.0000, 0.8607)  1 Ni 2.16
Ni (0.5000, 0.5000, 0.3607)  1 Ni 2.16
Ni (0.5000, 0.5000, 0.6393)  1 Ni 2.16
Pb (0.0000, 0.0000, 0.5000)  2 Ni 2.80, 8 Sc 3.10
Pb (0.5000, 0.5000, 0.0000)  2 Ni 2.80, 8 Sc 3.10

Computed properties:
Total magnetic moment = 0.00 μB per formula unit
Uncorrected energy = -27.62 eV/atom
Calculated formation energy = -28.7 kJ per mole of atoms
Space-group type = I4/mmm